! MnHg3Cl8, optimized geometry, DFT GGA-PBE; values from VASP
&SYSTEM
  ibrav = 0, nat = 12, ntyp = 3
/
ATOMIC_SPECIES
Cl 35.45 Cl.upf
Hg 200.59 Hg.upf
Mn 54.94 Mn.upf
CELL_PARAMETERS angstrom
3.9084 0.0000 -1.1508
-0.7616 9.5001 -2.5866
0.8279 0.4223 10.0241
ATOMIC_POSITIONS angstrom
Cl 2.0422 4.1083 -0.2765
Cl 1.2046 9.2676 4.0910
Hg 2.3949 2.0718 8.1335
Cl 2.2132 0.5380 0.3043
Hg 2.6606 3.0931 1.8236
Mn 1.3309 7.0374 4.5200
Cl 0.1716 7.6789 0.5827
Cl 3.0448 6.0493 3.1284
Hg 1.7037 7.4698 -1.4260
Cl 1.9770 6.3630 6.7141
Cl 1.1077 2.5724 3.7618
Cl 4.0107 2.9956 6.4090
! calculated total energy: -32.828 eV for the cell shown

---

! Mg2ZnCu, optimized geometry, DFT GGA-PBE; values from VASP
&SYSTEM
  ibrav = 0, nat = 8, ntyp = 3
/
ATOMIC_SPECIES
Cu 63.55 Cu.upf
Mg 24.30 Mg.upf
Zn 65.41 Zn.upf
CELL_PARAMETERS angstrom
5.2599 0.0137 0.0000
0.9749 5.1687 0.0000
0.0000 0.0000 5.0148
ATOMIC_POSITIONS angstrom
Cu 2.3687 3.4920 1.2537
Cu 3.8661 1.6905 3.7611
Mg 3.6198 4.3362 3.7611
Mg 2.6150 0.8462 1.2537
Mg 1.3100 2.4163 3.7611
Zn 0.0000 0.0000 2.5074
Mg 4.9248 2.7662 1.2537
Zn 0.0000 0.0000 0.0000
! calculated total energy: -18.208 eV for the cell shown
! calculated formation energy: -0.14 eV per atom

---

! Pa2InRe, optimized geometry, DFT GGA-PBE; values from VASP
&SYSTEM
  ibrav = 0, nat = 4, ntyp = 3
/
ATOMIC_SPECIES
In 114.82 In.upf
Pa 231.04 Pa.upf
Re 186.21 Re.upf
CELL_PARAMETERS angstrom
-1.6716 2.6736 0.5931
-1.4049 -1.4337 2.5030
6.5240 2.8985 5.3219
ATOMIC_POSITIONS angstrom
In 1.7237 2.0692 4.2090
Pa 1.3747 0.6107 1.1214
Pa 5.1493 2.2877 4.2005
Re -1.5383 0.6200 1.5481
! ΔE to the lowest computed polymorph: 0.000 eV per atom
! calculated total energy: -34.750 eV for the cell shown
! calculated formation energy: -0.14 eV per atom

---

! CaYS2N, optimized geometry, DFT GGA-PBE; values from VASP
&SYSTEM
  ibrav = 0, nat = 5, ntyp = 4
/
ATOMIC_SPECIES
N 14.01 N.upf
S 32.06 S.upf
Ca 40.08 Ca.upf
Y 88.91 Y.upf
CELL_PARAMETERS angstrom
5.2828 0.0000 0.0000
0.0000 5.2828 0.0000
0.0000 0.0000 4.4026
ATOMIC_POSITIONS angstrom
N 0.0000 0.0000 2.2013
S 2.6414 0.0000 0.0000
Ca 2.6414 2.6414 2.2013
S 0.0000 2.6414 0.0000
Y 0.0000 0.0000 0.0000
! ΔE to the lowest computed polymorph: 0.000 eV per atom
! calculated total energy: -29.019 eV for the cell shown

---

! BaCa2Ir, optimized geometry, DFT GGA-PBE; values from VASP
&SYSTEM
  ibrav = 0, nat = 4, ntyp = 3
/
ATOMIC_SPECIES
Ir 192.22 Ir.upf
Ca 40.08 Ca.upf
Ba 137.33 Ba.upf
CELL_PARAMETERS angstrom
6.4528 0.0063 -0.0016
-3.0819 5.6693 -0.0016
0.9171 1.5441 3.2714
ATOMIC_POSITIONS angstrom
Ir 3.6850 0.7752 1.6349
Ca 0.0000 0.0000 0.0000
Ca 1.6855 2.8378 -0.0016
Ba -1.0824 3.6067 1.6349
! ΔE to the lowest computed polymorph: 0.628 eV per atom
! calculated total energy: -13.233 eV for the cell shown
! calculated formation energy: 0.39 eV per atom

---

! KCr3Pb, optimized geometry, DFT GGA-PBE; values from VASP
&SYSTEM
  ibrav = 0, nat = 5, ntyp = 3
/
ATOMIC_SPECIES
Cr 52.00 Cr.upf
Pb 207.20 Pb.upf
K 39.10 K.upf
CELL_PARAMETERS angstrom
5.3618 0.0000 0.0000
0.0000 5.3618 0.0000
0.0000 0.0000 5.3618
ATOMIC_POSITIONS angstrom
Cr 0.0000 2.6809 0.0000
Pb 2.6809 2.6809 2.6809
Cr 0.0000 0.0000 2.6809
Cr 2.6809 0.0000 0.0000
K 0.0000 0.0000 0.0000
! ΔE to the lowest computed polymorph: 0.850 eV per atom
! calculated total energy: -23.357 eV for the cell shown
! calculated formation energy: 2.06 eV per atom

---

! TbCeTh, optimized geometry, DFT GGA-PBE; values from VASP
&SYSTEM
  ibrav = 0, nat = 3, ntyp = 3
/
ATOMIC_SPECIES
Ce 140.12 Ce.upf
Th 232.04 Th.upf
Tb 158.93 Tb.upf
CELL_PARAMETERS angstrom
3.5382 0.0000 0.0000
0.0000 3.5382 0.0000
-1.7691 -1.7691 7.4178
ATOMIC_POSITIONS angstrom
Ce 1.7691 1.7691 2.5463
Th 0.0000 0.0000 4.8959
Tb 1.7691 1.7691 7.3933
! ΔE to the lowest computed polymorph: 0.007 eV per atom
! calculated total energy: -17.809 eV for the cell shown
! calculated formation energy: 0.06 eV per atom

---

! Mg3ScAg2, optimized geometry, DFT GGA-PBE; values from VASP
&SYSTEM
  ibrav = 0, nat = 12, ntyp = 3
/
ATOMIC_SPECIES
Mg 24.30 Mg.upf
Ag 107.87 Ag.upf
Sc 44.96 Sc.upf
CELL_PARAMETERS angstrom
4.7555 0.0000 0.0000
-2.3777 4.1184 0.0000
0.0000 0.0000 12.5078
ATOMIC_POSITIONS angstrom
Mg 2.3777 1.3728 11.1728
Mg 0.0000 2.7456 1.3350
Ag 0.0000 2.7456 10.8519
Ag 2.3777 1.3728 4.5980
Ag 2.3777 1.3728 1.6559
Sc 0.0000 0.0000 9.3809
Ag 0.0000 2.7456 7.9098
Mg 2.3777 1.3728 7.5889
Sc 0.0000 0.0000 3.1270
Mg 0.0000 0.0000 6.2539
Mg 0.0000 2.7456 4.9189
Mg 0.0000 0.0000 0.0000
! ΔE to the lowest computed polymorph: 0.005 eV per atom
! calculated total energy: -35.688 eV for the cell shown
! calculated formation energy: -0.17 eV per atom